Compound: CaCdCu3
Source: Alexandria via LeMat-Bulk
Functional: PBE-GGA
Structure: relaxed

Lattice parameters (Å, degrees): 4.859 4.859 4.859 90.00 90.00 90.00
Space group Pm-3m (No. 221)
Symmetry-distinct sites (fractional):
Ca  0.000  0.000  0.000 [1 per cell]
Cd  0.500  0.500  0.500 [1 per cell]
Cu  0.000  0.500  0.500 [3 per cell]

For the size of the total moment, the calculation gives 0.000 μB/f.u. The calculation puts the calculated total energy at -2.641 eV per atom. The density of states at the Fermi level is 2.15 states/eV/f.u. Its energy relative to the elements is 0.40 eV per atom.